Ac2HoMoO8: relaxed, PBE+U.

a = 5.3499 Å, b = 7.0549 Å, c = 5.3704 Å
α = 90.00°, β = 91.27°, γ = 90.00°
Last column: nearest neighbours and their distance in Å.
Fractional coordinates of all 12 atoms:
Ac (0.0000, 0.2450, 0.0000)  6 O 2.37-2.54
Ac (0.0000, 0.7550, 0.0000)  6 O 2.37-2.54
Ho (0.5000, 0.5000, 0.5000)  6 O 2.20-2.42
Mo (0.5000, 0.0000, 0.5000)  6 O 1.92-1.98
O (0.2066, 0.5000, 0.2063)  1 Ho 2.20, 2 Ac 2.37
O (0.2429, 0.0000, 0.2442)  1 Mo 1.92
O (0.3305, 0.2115, 0.6698)  1 Mo 1.98
O (0.3305, 0.7885, 0.6698)  1 Mo 1.98
O (0.6695, 0.2115, 0.3302)  1 Mo 1.98
O (0.6695, 0.7885, 0.3302)  1 Mo 1.98
O (0.7571, 0.0000, 0.7558)  1 Mo 1.92
O (0.7934, 0.5000, 0.7937)  1 Ho 2.20, 2 Ac 2.37

Results
**DOS(E_F)**: 9.66 states/eV per cell
**Final energy**: -7.51 eV/atom
**Crystal system**: monoclinic
**Spin magnetization**: 0.6 μB/f.u.